(1)
Below is a relaxed PmAl2I8 crystal, with properties calculated at the PBE-GGA level.

The calculation puts the formation energy without anion corrections at -78 kJ/mol of atoms. The calculation puts the calculated volume at 1155 Å³/cell. Its electronic total energy is -3.049 eV per atom. The size of the total moment is 1.71 μB per cell.

Cell and atoms, written as CIF:
```
data_PmAl2I8
_chemical_formula_sum 'Pm2 Al4 I16'
_symmetry_space_group_name_H-M 'C 1 2/m 1'
_symmetry_Int_Tables_number 12
_cell_length_a 14.3194
_cell_length_b 11.1241
_cell_length_c 7.3396
_cell_angle_alpha 90.00
_cell_angle_beta 99.04
_cell_angle_gamma 90.00
loop_
_symmetry_equiv_pos_as_xyz
'x,y,z'
'-x,-y,-z'
'-x,y,-z'
'x,-y,z'
'x+1/2,y+1/2,z'
'-x+1/2,-y+1/2,-z'
'-x+1/2,y+1/2,-z'
'x+1/2,-y+1/2,z'
loop_
_atom_site_label
_atom_site_type_symbol
_atom_site_fract_x
_atom_site_fract_y
_atom_site_fract_z
Pm1 Pm 0.0000 0.0000 0.0000
Al1 Al 0.1960 0.0000 0.6538
I1 I 0.1008 0.1810 0.7661
I2 I 0.1314 0.5000 0.2046
I3 I 0.1904 0.0000 0.2892
```

***

(2)
Below is a relaxed Pm2AlI crystal, with properties calculated at the PBE-GGA level.

The calculation puts the formation energy without anion corrections at -56 kJ/mol of atoms. The calculation puts the calculated volume at 358 Å³/cell. Its electronic total energy is -4.275 eV per atom. The size of the total moment is 0.00 μB per cell.

Cell and atoms, written as CIF:
```
data_Pm2AlI
_chemical_formula_sum 'Pm6 Al3 I3'
_symmetry_space_group_name_H-M 'R 3 m'
_symmetry_Int_Tables_number 160
_symmetry_space_group_name_Hall 'R 3 -2"'
_cell_length_a 3.9145
_cell_length_b 3.9145
_cell_length_c 26.9494
_cell_angle_alpha 90.00
_cell_angle_beta 90.00
_cell_angle_gamma 120.00
loop_
_atom_site_label
_atom_site_type_symbol
_atom_site_fract_x
_atom_site_fract_y
_atom_site_fract_z
Pm1 Pm 0.0000 0.0000 0.0000
Pm2 Pm 0.0000 0.0000 0.1797
Al1 Al 0.0000 0.0000 0.5895
I1 I 0.0000 0.0000 0.7572
```